Entry 1:
RbCrSbTe2 (PBE, optimized geometry); E_tot = -4.134 eV per atom; space group = P4/mmm, No. 123
1.0
5.429 0.000 0.000
0.000 5.429 0.000
0.000 0.000 5.125
Rb Cr Sb Te
1 1 1 2
Cartesian
0.000 0.000 0.000 Rb
2.715 2.715 2.563 Cr
2.715 2.715 0.000 Sb
0.000 2.715 2.563 Te
2.715 0.000 2.563 Te

***

Entry 2:
RbScCr3 (PBE, optimized geometry); formation energy from the elements = 2316 meV/atom; E_tot = -4.918 eV per atom; polymorph energy (0 for the lowest one) = 662 meV per atom; space group = Pm-3m, No. 221
1.0
4.886 0.000 0.000
0.000 4.886 0.000
0.000 0.000 4.886
Rb Sc Cr
1 1 3
Cartesian
0.000 0.000 0.000 Rb
2.443 2.443 2.443 Sc
0.000 0.000 2.443 Cr
0.000 2.443 0.000 Cr
2.443 0.000 0.000 Cr

***

Entry 3:
RbSc3Cr (PBE, optimized geometry); formation energy from the elements = 616 meV/atom; E_tot = -5.301 eV per atom; polymorph energy (0 for the lowest one) = 0 meV per atom; space group = Pm-3m, No. 221
1.0
5.231 0.000 0.000
0.000 5.231 0.000
0.000 0.000 5.231
Rb Sc Cr
1 3 1
Cartesian
0.000 0.000 0.000 Rb
0.000 2.615 2.615 Sc
2.615 0.000 2.615 Sc
2.615 2.615 0.000 Sc
2.615 2.615 2.615 Cr

***

Entry 4:
Rb2ScCr (PBE, optimized geometry); formation energy from the elements = 1141 meV/atom; E_tot = -3.332 eV per atom; polymorph energy (0 for the lowest one) = 0 meV per atom; space group = I-42d, No. 122
1.0
-6.619 6.619 2.599
6.619 -6.619 2.599
6.619 6.619 -2.599
Rb Sc Cr
4 2 2
Cartesian
1.316 3.310 0.650 Rb
-3.310 5.303 1.949 Rb
-1.316 9.929 0.650 Rb
3.310 7.935 1.949 Rb
6.619 0.000 1.300 Sc
0.000 0.000 2.599 Sc
0.000 0.000 0.000 Cr
0.000 6.619 1.300 Cr

***

Entry 5:
Rb2ScCr (PBE, optimized geometry); formation energy from the elements = 1278 meV/atom; E_tot = -3.194 eV per atom; polymorph energy (0 for the lowest one) = 137 meV per atom; space group = Fm-3m, No. 225
1.0
0.000 4.479 4.479
4.479 0.000 4.479
4.479 4.479 0.000
Rb Sc Cr
2 1 1
Cartesian
2.239 2.239 2.239 Rb
6.718 6.718 6.718 Rb
0.000 0.000 0.000 Sc
4.479 4.479 4.479 Cr

***

Entry 6:
RbScCr2 (PBE, optimized geometry); formation energy from the elements = 1335 meV/atom; E_tot = -5.301 eV per atom; polymorph energy (0 for the lowest one) = 0 meV per atom; space group = Fm-3m, No. 225
1.0
0.000 3.769 3.769
3.769 0.000 3.769
3.769 3.769 0.000
Rb Sc Cr
1 1 2
Cartesian
0.000 0.000 0.000 Rb
3.769 3.769 3.769 Sc
1.884 1.884 1.884 Cr
5.653 5.653 5.653 Cr

***

Entry 7:
RbScCr2 (PBE, optimized geometry); formation energy from the elements = 1478 meV/atom; E_tot = -5.158 eV per atom; polymorph energy (0 for the lowest one) = 143 meV per atom; space group = I-42d, No. 122
1.0
-2.841 2.841 9.678
2.841 -2.841 9.678
2.841 2.841 -9.678
Rb Sc Cr
2 2 4
Cartesian
0.000 0.000 0.000 Rb
0.000 2.841 4.839 Rb
2.841 0.000 4.839 Sc
0.000 0.000 9.678 Sc
1.421 2.832 -2.420 Cr
2.851 1.421 2.420 Cr
1.421 0.010 7.259 Cr
-0.010 1.421 12.098 Cr

***

Entry 8:
RbScCr3 (PBE, optimized geometry); formation energy from the elements = 1654 meV/atom; E_tot = -5.580 eV per atom; polymorph energy (0 for the lowest one) = 0 meV per atom; space group = Pm-3m, No. 221
1.0
5.213 0.000 0.000
0.000 5.213 0.000
0.000 0.000 5.213
Rb Sc Cr
1 1 3
Cartesian
0.000 0.000 0.000 Rb
2.606 2.606 2.606 Sc
0.000 2.606 2.606 Cr
2.606 0.000 2.606 Cr
2.606 2.606 0.000 Cr

***

Entry 9:
Rb3ScCr (PBE, optimized geometry); formation energy from the elements = 1189 meV/atom; E_tot = -2.582 eV per atom; polymorph energy (0 for the lowest one) = 0 meV per atom; space group = Pm-3m, No. 221
1.0
6.912 0.000 0.000
0.000 6.912 0.000
0.000 0.000 6.912
Rb Sc Cr
3 1 1
Cartesian
0.000 0.000 3.456 Rb
0.000 3.456 0.000 Rb
3.456 0.000 0.000 Rb
3.456 3.456 3.456 Sc
0.000 0.000 0.000 Cr

***

Entry 10:
RbSc3Cr (PBE, optimized geometry); formation energy from the elements = 1699 meV/atom; E_tot = -4.218 eV per atom; polymorph energy (0 for the lowest one) = 1084 meV per atom; space group = Pm-3m, No. 221
1.0
5.037 0.000 0.000
0.000 5.037 0.000
0.000 0.000 5.037
Rb Sc Cr
1 3 1
Cartesian
0.000 0.000 0.000 Rb
0.000 0.000 2.518 Sc
0.000 2.518 0.000 Sc
2.518 0.000 0.000 Sc
2.518 2.518 2.518 Cr

***

Entry 11:
Rb3ScCr2Se6 (PBE, optimized geometry); E_tot = -5.152 eV per atom; space group = C2/m, No. 12
1.0
3.408 -5.897 0.000
3.408 5.897 0.000
-2.271 0.000 7.817
Rb Sc Cr Se
3 1 2 6
Cartesian
0.000 0.000 0.000 Rb
3.408 1.923 0.000 Rb
3.408 -1.923 0.000 Rb
2.273 0.000 3.908 Sc
2.273 3.929 3.908 Cr
2.273 -3.929 3.908 Cr
1.087 2.051 2.527 Se
-0.098 0.000 5.280 Se
1.087 -2.051 2.527 Se
3.458 2.051 5.290 Se
4.643 0.000 2.537 Se
3.458 -2.051 5.290 Se

***

Entry 12:
Rb3Sc3CrTe8 (PBE, optimized geometry); E_tot = -4.778 eV per atom; space group = C2/m, No. 12
1.0
7.199 -4.151 0.000
7.199 4.151 0.000
-4.810 0.000 8.854
Rb Sc Cr Te
3 3 1 8
Cartesian
0.000 0.000 0.000 Rb
3.599 2.075 0.000 Rb
3.599 -2.075 0.000 Rb
1.194 2.075 4.427 Sc
1.194 -2.075 4.427 Sc
4.793 0.000 4.427 Sc
-2.405 0.000 4.427 Cr
-0.104 0.000 6.047 Te
3.641 2.160 6.047 Te
5.946 2.160 2.807 Te
2.395 0.000 2.730 Te
7.192 0.000 6.124 Te
3.641 -2.160 6.047 Te
5.946 -2.160 2.807 Te
9.691 0.000 2.807 Te

***

Entry 13:
Rb3Sc2CrTe6 (PBE, optimized geometry); E_tot = -4.654 eV per atom; space group = C2/m, No. 12
1.0
3.712 -6.432 0.000
3.712 6.432 0.000
-2.481 0.000 8.448
Rb Sc Cr Te
3 2 1 6
Cartesian
0.000 0.000 0.000 Rb
3.712 2.200 0.000 Rb
3.712 -2.200 0.000 Rb
2.472 4.295 4.224 Sc
2.472 -4.295 4.224 Sc
2.472 0.000 4.224 Cr
1.290 2.052 2.677 Te
0.105 0.000 5.786 Te
1.290 -2.052 2.677 Te
3.653 2.052 5.771 Te
4.838 0.000 2.662 Te
3.653 -2.052 5.771 Te

***

Entry 14:
Rb2YScCr (PBE, optimized geometry); formation energy from the elements = 1571 meV/atom; E_tot = -3.300 eV per atom; space group = P4/mmm, No. 123
1.0
6.853 0.000 0.000
0.000 6.853 0.000
0.000 0.000 4.986
Rb Y Sc Cr
2 1 1 1
Cartesian
0.000 3.426 0.000 Rb
3.426 0.000 0.000 Rb
0.000 0.000 0.000 Y
3.426 3.426 2.493 Sc
0.000 0.000 2.493 Cr

***

Entry 15:
RbCrSe2 (PBE, optimized geometry); E_tot = -5.176 eV per atom; space group = R3m, No. 160
1.0
1.943 1.122 7.748
-1.943 1.122 7.748
0.000 -2.244 7.748
Rb Cr Se
1 1 2
Cartesian
0.000 0.000 0.000 Rb
0.000 0.000 19.332 Cr
0.000 0.000 5.153 Se
0.000 0.000 10.278 Se

***

Entry 16:
RbCr2Se3 (PBE, optimized geometry); E_tot = -5.721 eV per atom; space group = Cmcm, No. 63
1.0
1.975 -7.750 0.000
1.975 7.750 0.000
0.000 0.000 10.373
Rb Cr Se
2 4 6
Cartesian
1.975 3.888 7.780 Rb
1.975 -3.888 2.593 Rb
1.975 7.276 2.593 Cr
1.975 0.000 0.000 Cr
1.975 0.000 5.187 Cr
1.975 -7.276 7.780 Cr
1.975 6.060 0.495 Se
1.975 6.060 4.692 Se
1.975 0.971 2.593 Se
1.975 -0.971 7.780 Se
1.975 -6.060 5.682 Se
1.975 -6.060 9.879 Se

***

Entry 17:
Rb5CrSe4 (PBE, optimized geometry); E_tot = -3.721 eV per atom; space group = Pmmn, No. 59
1.0
10.003 0.000 0.000
0.000 10.537 0.000
0.000 0.000 7.931
Rb Cr Se
10 2 8
Cartesian
0.143 0.619 1.869 Rb
0.143 4.650 1.869 Rb
2.501 7.903 2.868 Rb
4.859 0.619 1.869 Rb
4.859 4.650 1.869 Rb
5.144 5.887 6.062 Rb
5.144 9.918 6.062 Rb
7.502 2.634 5.063 Rb
9.860 5.887 6.062 Rb
9.860 9.918 6.062 Rb
2.501 2.634 5.628 Cr
7.502 7.903 2.303 Cr
0.418 2.634 6.935 Se
2.501 0.517 4.349 Se
2.501 4.752 4.349 Se
4.583 2.634 6.935 Se
5.420 7.903 0.997 Se
7.502 5.785 3.582 Se
7.502 10.020 3.582 Se
9.584 7.903 0.997 Se

***

Entry 18:
RbCr4Se8 (PBE, optimized geometry); E_tot = -5.797 eV per atom; space group = R-3m, No. 166
1.0
3.525 2.035 8.725
-3.525 2.035 8.725
0.000 -4.070 8.725
Rb Cr Se
1 4 8
Cartesian
0.000 0.000 0.000 Rb
-3.525 0.000 13.087 Cr
-1.762 1.018 4.362 Cr
1.762 1.018 4.362 Cr
0.000 0.000 13.087 Cr
0.000 0.000 5.830 Se
-1.756 -1.014 14.550 Se
0.000 -2.027 11.625 Se
-1.756 1.014 11.625 Se
1.756 -1.014 14.550 Se
0.000 2.027 14.550 Se
1.756 1.014 11.625 Se
0.000 0.000 20.345 Se

***

Entry 19:
RbCrSe2 (PBE, optimized geometry); E_tot = -5.104 eV per atom; space group = I-42d, No. 122
1.0
-3.778 3.778 4.334
3.778 -3.778 4.334
3.778 3.778 -4.334
Rb Cr Se
2 2 4
Cartesian
0.000 0.000 0.000 Rb
0.000 3.778 2.167 Rb
3.778 0.000 2.167 Cr
0.000 0.000 4.334 Cr
1.889 -1.024 3.251 Se
2.754 1.889 1.084 Se
1.889 4.802 -1.084 Se
1.024 1.889 5.418 Se

***

Entry 20:
RbCr3Se (PBE, optimized geometry); E_tot = -4.348 eV per atom; polymorph energy (0 for the lowest one) = 1392 meV per atom; space group = Pm-3m, No. 221
1.0
5.630 0.000 0.000
0.000 5.630 0.000
0.000 0.000 5.630
Rb Cr Se
1 3 1
Cartesian
0.000 0.000 0.000 Rb
0.000 0.000 2.815 Cr
0.000 2.815 0.000 Cr
2.815 0.000 0.000 Cr
2.815 2.815 2.815 Se

***

Entry 21:
Rb3Cr5Se12 (PBE, optimized geometry); E_tot = -5.106 eV per atom; space group = Ia-3d, No. 230
1.0
-8.152 8.152 8.152
8.152 -8.152 8.152
8.152 8.152 -8.152
Rb Cr Se
12 20 48
Cartesian
4.076 2.038 0.000 Rb
8.152 4.076 -2.038 Rb
2.038 0.000 4.076 Rb
10.190 0.000 4.076 Rb
0.000 4.076 2.038 Rb
4.076 -2.038 8.152 Rb
4.076 10.190 0.000 Rb
8.152 4.076 6.114 Rb
-2.038 8.152 4.076 Rb
6.114 8.152 4.076 Rb
0.000 4.076 10.190 Rb
4.076 6.114 8.152 Rb
0.000 0.000 0.000 Cr
4.076 4.076 -4.076 Cr
4.076 -4.076 4.076 Cr
8.152 0.000 0.000 Cr
12.228 2.038 0.000 Cr
8.152 -4.076 6.114 Cr
6.114 8.152 -4.076 Cr
6.114 0.000 4.076 Cr
4.076 6.114 0.000 Cr
8.152 4.076 2.038 Cr
-4.076 4.076 4.076 Cr
0.000 8.152 0.000 Cr
0.000 0.000 8.152 Cr
4.076 4.076 4.076 Cr
0.000 4.076 6.114 Cr
4.076 2.038 8.152 Cr
2.038 8.152 4.076 Cr
2.038 0.000 12.228 Cr
0.000 12.228 2.038 Cr
-4.076 6.114 8.152 Cr
2.345 -0.786 0.796 Se
9.884 4.872 -4.863 Se
7.366 -0.796 2.345 Se
13.015 -1.732 3.280 Se
0.796 2.345 -0.786 Se
11.432 3.290 -1.732 Se
10.497 0.786 0.796 Se
9.884 -3.280 4.863 Se
4.872 4.863 -1.732 Se
7.356 2.345 0.786 Se
-0.786 0.796 2.345 Se
4.863 -1.732 4.872 Se
7.366 7.356 -2.345 Se
4.863 1.732 3.280 Se
7.356 -2.345 7.366 Se
4.872 -4.863 9.884 Se
2.345 7.366 -0.796 Se
9.884 3.280 3.290 Se
3.280 4.863 1.732 Se
8.949 5.808 0.786 Se
4.863 9.884 -3.280 Se
7.366 0.796 5.808 Se
1.732 3.280 4.863 Se
2.345 0.786 7.356 Se
5.808 7.366 0.796 Se
6.421 4.872 3.290 Se
0.786 7.356 2.345 Se
3.290 -1.732 11.432 Se
-0.796 2.345 7.366 Se
4.872 3.290 6.421 Se
-1.732 4.872 4.863 Se
5.808 0.786 8.949 Se
3.280 13.015 -1.732 Se
0.796 10.497 0.786 Se
3.290 6.421 4.872 Se
0.786 0.796 10.497 Se
3.290 9.884 3.280 Se
8.939 7.356 5.808 Se
0.796 5.808 7.366 Se
3.280 3.290 9.884 Se
-1.732 11.432 3.290 Se
-2.345 7.366 7.356 Se
-3.280 4.863 9.884 Se
7.356 5.808 8.939 Se
-4.863 9.884 4.872 Se
0.786 8.949 5.808 Se
-1.732 3.280 13.015 Se
5.808 8.939 7.356 Se